No. 1
Here is Pr5Ho12Sc2 after structural relaxation from Alexandria. Energies are from GGA-PBE.

Structure (CIF):
```
data_Pr5Ho12Sc2
_chemical_formula_sum 'Pr10 Ho24 Sc4'
_space_group_name_H-M_alt 'C 1 2/m 1'
_space_group_IT_number 12
_cell_length_a 18.623
_cell_length_b 7.232
_cell_length_c 9.918
_cell_angle_alpha 90.00
_cell_angle_beta 112.70
_cell_angle_gamma 90.00
loop_
_space_group_symop_operation_xyz
'x,y,z'
'-x,-y,-z'
'-x,y,-z'
'x,-y,z'
'x+1/2,y+1/2,z'
'-x+1/2,-y+1/2,-z'
'-x+1/2,y+1/2,-z'
'x+1/2,-y+1/2,z'
loop_
_atom_site_label
_atom_site_type_symbol
_atom_site_fract_x
_atom_site_fract_y
_atom_site_fract_z
Pr1 Pr 0.000 0.000 0.000
Pr2 Pr 0.181 0.500 0.705
Pr3 Pr 0.188 0.000 0.692
Ho1 Ho 0.002 0.500 0.814
Ho2 Ho 0.014 0.000 0.714
Ho3 Ho 0.157 0.248 0.362
Ho4 Ho 0.161 0.248 0.005
Sc1 Sc 0.000 0.303 0.500
```

Values from the calculation:
formation enthalpy at 0 K: 0.177 eV/atom
Fermi-level density of states: 30.59 states/eV/f.u.
electronic total energy: -176.25 eV/cell

***

No. 2
Here is Pr3Ho3Sc2 after structural relaxation from Alexandria. Energies are from GGA-PBE.

Structure (CIF):
```
data_Pr3Ho3Sc2
_chemical_formula_sum 'Pr6 Ho6 Sc4'
_space_group_name_H-M_alt 'I m m m'
_space_group_IT_number 71
_space_group_name_Hall '-I 2 2'
_cell_length_a 5.025
_cell_length_b 5.056
_cell_length_c 19.625
_cell_angle_alpha 90.00
_cell_angle_beta 90.00
_cell_angle_gamma 90.00
loop_
_atom_site_label
_atom_site_type_symbol
_atom_site_fract_x
_atom_site_fract_y
_atom_site_fract_z
Pr1 Pr 0.000 0.000 0.000
Pr2 Pr 0.000 0.500 0.132
Ho1 Ho 0.000 0.000 0.500
Ho2 Ho 0.000 0.500 0.368
Sc1 Sc 0.000 0.000 0.249
```

Values from the calculation:
formation enthalpy at 0 K: 0.048 eV/atom
Fermi-level density of states: 13.23 states/eV/f.u.
electronic total energy: -80.70 eV/cell

***

No. 3
Here is Pr2Ho3Sc after structural relaxation from Alexandria. Energies are from GGA-PBE.

Structure (CIF):
```
data_Pr2Ho3Sc
_chemical_formula_sum 'Pr8 Ho12 Sc4'
_space_group_name_H-M_alt 'C 1 2/m 1'
_space_group_IT_number 12
_cell_length_a 15.033
_cell_length_b 5.003
_cell_length_c 11.219
_cell_angle_alpha 90.00
_cell_angle_beta 116.44
_cell_angle_gamma 90.00
loop_
_space_group_symop_operation_xyz
'x,y,z'
'-x,-y,-z'
'-x,y,-z'
'x,-y,z'
'x+1/2,y+1/2,z'
'-x+1/2,-y+1/2,-z'
'-x+1/2,y+1/2,-z'
'x+1/2,-y+1/2,z'
loop_
_atom_site_label
_atom_site_type_symbol
_atom_site_fract_x
_atom_site_fract_y
_atom_site_fract_z
Pr1 Pr 0.038 0.000 0.375
Pr2 Pr 0.211 0.500 0.373
Ho1 Ho 0.045 0.500 0.878
Ho2 Ho 0.126 0.000 0.123
Ho3 Ho 0.208 0.000 0.874
Sc1 Sc 0.124 0.500 0.626
```

Values from the calculation:
formation enthalpy at 0 K: 0.040 eV/atom
Fermi-level density of states: 8.60 states/eV/f.u.
electronic total energy: -117.54 eV/cell
relative energy among the computed polymorphs: 0.000 eV per atom

***

No. 4
Here is Pr6Ho2Sc after structural relaxation from Alexandria. Energies are from GGA-PBE.

Structure (CIF):
```
data_Pr6Ho2Sc
_chemical_formula_sum 'Pr24 Ho8 Sc4'
_space_group_name_H-M_alt 'C 1 2/c 1'
_space_group_IT_number 15
_cell_length_a 16.371
_cell_length_b 11.882
_cell_length_c 6.252
_cell_angle_alpha 90.00
_cell_angle_beta 96.61
_cell_angle_gamma 90.00
loop_
_space_group_symop_operation_xyz
'x,y,z'
'-x,-y,-z'
'-x,y,-z+1/2'
'x,-y,z+1/2'
'x+1/2,y+1/2,z'
'-x+1/2,-y+1/2,-z'
'-x+1/2,y+1/2,-z+1/2'
'x+1/2,-y+1/2,z+1/2'
loop_
_atom_site_label
_atom_site_type_symbol
_atom_site_fract_x
_atom_site_fract_y
_atom_site_fract_z
Pr1 Pr 0.050 0.140 0.012
Pr2 Pr 0.110 0.365 0.324
Pr3 Pr 0.211 0.361 0.853
Ho1 Ho 0.170 0.104 0.575
Sc1 Sc 0.000 0.391 0.750
```

Values from the calculation:
formation enthalpy at 0 K: 0.091 eV/atom
Fermi-level density of states: 13.02 states/eV/f.u.
electronic total energy: -173.39 eV/cell
relative energy among the computed polymorphs: 0.055 eV per atom

***

No. 5
Here is PrHo4Sc after structural relaxation from Alexandria. Energies are from GGA-PBE.

Structure (CIF):
```
data_PrHo4Sc
_chemical_formula_sum 'Pr2 Ho8 Sc2'
_space_group_name_H-M_alt 'C 1 2/m 1'
_space_group_IT_number 12
_cell_length_a 11.290
_cell_length_b 3.422
_cell_length_c 11.281
_cell_angle_alpha 90.00
_cell_angle_beta 118.67
_cell_angle_gamma 90.00
loop_
_space_group_symop_operation_xyz
'x,y,z'
'-x,-y,-z'
'-x,y,-z'
'x,-y,z'
'x+1/2,y+1/2,z'
'-x+1/2,-y+1/2,-z'
'-x+1/2,y+1/2,-z'
'x+1/2,-y+1/2,z'
loop_
_atom_site_label
_atom_site_type_symbol
_atom_site_fract_x
_atom_site_fract_y
_atom_site_fract_z
Pr1 Pr 0.000 0.000 0.000
Ho1 Ho 0.153 0.500 0.836
Ho2 Ho 0.156 0.000 0.351
Sc1 Sc 0.000 0.500 0.500
```

Values from the calculation:
formation enthalpy at 0 K: 0.204 eV/atom
Fermi-level density of states: 11.81 states/eV/f.u.
electronic total energy: -56.40 eV/cell
relative energy among the computed polymorphs: 0.000 eV per atom

***

No. 6
Here is PrHo6Sc2 after structural relaxation from Alexandria. Energies are from GGA-PBE.

Structure (CIF):
```
data_PrHo6Sc2
_chemical_formula_sum 'Pr3 Ho18 Sc6'
_space_group_name_H-M_alt 'R 3 m'
_space_group_IT_number 160
_space_group_name_Hall 'R 3 -2"'
_cell_length_a 7.1967
_cell_length_b 7.1967
_cell_length_c 18.8780
_cell_angle_alpha 90.00
_cell_angle_beta 90.00
_cell_angle_gamma 120.00
loop_
_atom_site_label
_atom_site_type_symbol
_atom_site_fract_x
_atom_site_fract_y
_atom_site_fract_z
Pr1 Pr 0.0000 0.0000 0.0000
Ho1 Ho 0.0106 0.5053 0.4512
Ho2 Ho 0.0445 0.5223 0.2504
Sc1 Sc 0.0000 0.0000 0.2624
Sc2 Sc 0.0000 0.0000 0.4387
```

Values from the calculation:
formation enthalpy at 0 K: 0.405 eV/atom
Fermi-level density of states: 12.45 states/eV/f.u.
electronic total energy: -123.79 eV/cell
relative energy among the computed polymorphs: 0.208 eV per atom

***

No. 7
Here is Pr5Ho4Sc2 after structural relaxation from Alexandria. Energies are from GGA-PBE.

Structure (CIF):
```
data_Pr5Ho4Sc2
_chemical_formula_sum 'Pr5 Ho4 Sc2'
_space_group_name_H-M_alt 'P 1 2/m 1'
_space_group_IT_number 10
_cell_length_a 8.941
_cell_length_b 3.550
_cell_length_c 11.297
_cell_angle_alpha 90.00
_cell_angle_beta 93.93
_cell_angle_gamma 90.00
loop_
_space_group_symop_operation_xyz
'x,y,z'
'-x,-y,-z'
'-x,y,-z'
'x,-y,z'
loop_
_atom_site_label
_atom_site_type_symbol
_atom_site_fract_x
_atom_site_fract_y
_atom_site_fract_z
Pr1 Pr 0.000 0.000 0.000
Pr2 Pr 0.062 0.000 0.315
Pr3 Pr 0.328 0.000 0.847
Ho1 Ho 0.249 0.500 0.563
Ho2 Ho 0.323 0.500 0.130
Sc1 Sc 0.436 0.000 0.370
```

Values from the calculation:
formation enthalpy at 0 K: 0.079 eV/atom
Fermi-level density of states: 16.61 states/eV/f.u.
electronic total energy: -54.00 eV/cell
relative energy among the computed polymorphs: 0.000 eV per atom

***

No. 8
Here is PrHo5Sc after structural relaxation from Alexandria. Energies are from GGA-PBE.

Structure (CIF):
```
data_PrHo5Sc
_chemical_formula_sum 'Pr2 Ho10 Sc2'
_space_group_name_H-M_alt 'I m m 2'
_space_group_IT_number 44
_cell_length_a 8.060
_cell_length_b 11.405
_cell_length_c 6.014
_cell_angle_alpha 90.00
_cell_angle_beta 90.00
_cell_angle_gamma 90.00
loop_
_space_group_symop_operation_xyz
'x,y,z'
'-x,-y,z'
'-x,y,z'
'x,-y,z'
'x+1/2,y+1/2,z+1/2'
'-x+1/2,-y+1/2,z+1/2'
'-x+1/2,y+1/2,z+1/2'
'x+1/2,-y+1/2,z+1/2'
loop_
_atom_site_label
_atom_site_type_symbol
_atom_site_fract_x
_atom_site_fract_y
_atom_site_fract_z
Pr1 Pr 0.000 0.000 0.000
Ho1 Ho 0.000 0.000 0.526
Ho2 Ho 0.000 0.252 0.260
Ho3 Ho 0.176 0.500 0.755
Sc1 Sc 0.000 0.500 0.253
```

Values from the calculation:
formation enthalpy at 0 K: 0.981 eV/atom
Fermi-level density of states: 9.69 states/eV/f.u.
electronic total energy: -54.27 eV/cell
relative energy among the computed polymorphs: 0.914 eV per atom

***

What is the electronic total energy in the fourth record?
-173.39 eV/cell